TaWSe2Br (PBE, optimized geometry); total DFT energy (no corrections) = -27.7 eV/cell; size of the total moment = 4.3 μB per formula unit; calculated density = 8.2 g/cm³; energy relative to the elements, uncorrected = 1.15 eV/atom
1.0
4.922 0.000 0.000
0.000 4.922 0.000
0.000 0.000 5.053
Ta Se Br W
1 2 1 1
direct
0.500 0.500 0.500 Ta
0.500 0.000 0.000 Se
0.000 0.500 0.000 Se
0.000 0.000 0.500 Br
0.000 0.000 0.000 W



DyEr2Be (PBE, optimized geometry); ΔE_f = 0.2 eV/f.u.; total DFT energy (no corrections) = -17.2 eV/cell; size of the total moment = 0.0 μB per formula unit; calculated density = 8.4 g/cm³
1.0
-2.796 0.831 -1.814
-1.877 -2.156 1.906
-1.678 6.300 5.474
Er Dy Be
2 1 1
direct
0.000 0.000 0.807 Er
0.000 0.000 0.193 Er
0.500 0.500 0.500 Dy
0.500 0.500 0.000 Be



Nb3InGe (PBE, optimized geometry); ΔE_f = 3.5 eV/f.u.; total DFT energy (no corrections) = -34.1 eV/cell; size of the total moment = 1.3 μB per formula unit; calculated density = 7.0 g/cm³
1.0
-2.188 1.797 -3.866
-0.758 -4.440 -1.635
-4.196 -0.135 2.311
Nb Ge In
3 1 1
direct
0.500 0.000 0.000 Nb
0.000 0.500 0.000 Nb
0.000 0.000 0.500 Nb
0.000 0.000 0.000 Ge
0.500 0.500 0.500 In



HfAsHBr2 (PBE, optimized geometry); total DFT energy (no corrections) = -19.5 eV/cell; size of the total moment = 0.0 μB per formula unit; calculated density = 7.6 g/cm³
1.0
-0.690 4.459 -2.220
-4.736 0.107 1.688
1.093 1.645 2.963
Br H Hf As
2 1 1 1
direct
0.500 0.000 0.000 Br
0.000 0.500 0.000 Br
0.000 0.000 0.000 H
0.500 0.500 0.500 Hf
0.000 0.000 0.500 As



EuBeAs (PBE, optimized geometry); ΔE_f = -2.3 eV/f.u.; total DFT energy (no corrections) = -20.9 eV/cell; size of the total moment = 7.3 μB per formula unit; calculated density = 6.6 g/cm³
1.0
-0.798 -3.163 3.026
3.452 0.740 1.684
-3.199 1.925 1.168
As Be Eu
1 1 1
direct
0.167 0.000 0.000 As
0.167 0.667 0.333 Be
0.667 0.333 0.667 Eu



Sc2GeAu2 (PBE, optimized geometry); ΔE_f = -3.2 eV/f.u.; total DFT energy (no corrections) = -54.1 eV/cell; size of the total moment = 0.0 μB per formula unit; calculated density = 9.3 g/cm³
1.0
7.513 0.000 0.000
0.000 7.513 0.000
0.000 0.000 3.536
Sc Au Ge
4 4 2
direct
0.169 0.669 0.500 Sc
0.831 0.331 0.500 Sc
0.669 0.831 0.500 Sc
0.331 0.169 0.500 Sc
0.869 0.631 0.000 Au
0.131 0.369 0.000 Au
0.631 0.131 0.000 Au
0.369 0.869 0.000 Au
0.000 0.000 0.000 Ge
0.500 0.500 0.000 Ge



Y2TiZnC (PBE, optimized geometry); ΔE_f = -1.5 eV/f.u.; total DFT energy (no corrections) = -32.8 eV/cell; size of the total moment = 0.0 μB per formula unit; calculated density = 5.0 g/cm³
1.0
4.937 0.000 0.000
0.000 4.937 0.000
0.000 0.000 4.164
Zn Y Ti C
1 2 1 1
direct
0.500 0.500 0.500 Zn
0.000 0.500 0.000 Y
0.500 0.000 0.000 Y
0.000 0.000 0.500 Ti
0.000 0.000 0.000 C



NiP3 (PBE, optimized geometry); ΔE_f = 0.3 eV/f.u.; total DFT energy (no corrections) = -21.7 eV/cell; size of the total moment = 0.0 μB per formula unit; calculated density = 4.6 g/cm³
1.0
-2.314 1.356 1.873
-0.729 -2.285 0.755
4.874 2.085 4.512
P Ni
3 1
direct
0.500 0.292 0.238 P
0.500 0.708 0.762 P
0.000 0.500 0.500 P
0.000 0.000 0.000 Ni



K2CuGe (PBE, optimized geometry); ΔE_f = 0.3 eV/f.u.; total DFT energy (no corrections) = -21.2 eV/cell; size of the total moment = 0.0 μB per formula unit; calculated density = 2.0 g/cm³
1.0
12.751 0.000 0.000
0.000 12.751 0.000
6.375 6.375 2.244
Ge Cu K
2 2 4
direct
0.750 0.250 0.500 Ge
0.000 0.000 0.000 Ge
0.250 0.750 0.500 Cu
0.500 0.500 0.000 Cu
0.361 0.625 0.250 K
0.389 0.125 0.250 K
0.875 0.639 0.750 K
0.375 0.611 0.750 K



Tm2H4Ir (PBE, optimized geometry); total DFT energy (no corrections) = -34.1 eV/cell; size of the total moment = 0.9 μB per formula unit; calculated density = 11.0 g/cm³
1.0
3.625 0.000 0.000
0.000 3.625 0.000
1.813 1.813 6.119
H Ir Tm
4 1 2
direct
0.500 0.000 0.000 H
0.145 0.145 0.709 H
0.000 0.500 0.000 H
0.855 0.855 0.291 H
0.000 0.000 0.000 Ir
0.650 0.650 0.700 Tm
0.350 0.350 0.300 Tm



TiZnTcMo (PBE, optimized geometry); ΔE_f = -0.3 eV/f.u.; total DFT energy (no corrections) = -30.7 eV/cell; size of the total moment = 0.0 μB per formula unit; calculated density = 8.4 g/cm³
1.0
4.407 0.000 0.000
2.204 3.817 0.000
2.204 1.272 3.598
Ti Mo Tc Zn
1 1 1 1
direct
0.250 0.250 0.250 Ti
0.750 0.750 0.750 Mo
0.000 0.000 0.000 Tc
0.500 0.500 0.500 Zn



Rb3Pm2PuO6 (PBE, optimized geometry); total DFT energy (no corrections) = -86.3 eV/cell; size of the total moment = 5.0 μB per formula unit; calculated density = 6.5 g/cm³; energy relative to the elements, uncorrected = -2.48 eV/atom
1.0
6.287 -0.001 0.000
-3.143 5.446 0.000
-1.049 -1.816 6.591
O Rb Pu Pm
6 3 1 2
direct
0.610 0.940 0.821 O
0.390 0.060 0.179 O
0.940 0.610 0.821 O
0.060 0.390 0.179 O
0.730 0.730 0.179 O
0.270 0.270 0.821 O
0.833 0.167 0.500 Rb
0.500 0.500 0.500 Rb
0.167 0.833 0.500 Rb
0.000 0.000 0.000 Pu
0.667 0.333 0.000 Pm
0.333 0.667 0.000 Pm



LiPm2Hf (PBE, optimized geometry); ΔE_f = 0.5 eV/f.u.; total DFT energy (no corrections) = -20.9 eV/cell; size of the total moment = 0.0 μB per formula unit; calculated density = 7.1 g/cm³
1.0
3.425 0.000 0.000
0.000 3.425 0.000
0.000 0.000 9.468
Hf Pm Li
1 2 1
direct
0.500 0.500 0.500 Hf
0.000 0.000 0.744 Pm
0.000 0.000 0.256 Pm
0.500 0.500 0.000 Li



TbZrHg (PBE, optimized geometry); ΔE_f = -0.1 eV/f.u.; total DFT energy (no corrections) = -13.6 eV/cell; size of the total moment = 0.0 μB per formula unit; calculated density = 9.7 g/cm³
1.0
-2.791 -2.000 0.697
2.957 -3.291 2.401
-2.099 3.811 2.532
Zr Tb Hg
1 1 1
direct
0.166 0.000 0.000 Zr
0.666 0.667 0.333 Tb
0.168 0.333 0.667 Hg



RbAlGaHg2 (PBE, optimized geometry); ΔE_f = 0.0 eV/f.u.; total DFT energy (no corrections) = -8.3 eV/cell; size of the total moment = 0.0 μB per formula unit; calculated density = 6.4 g/cm³
1.0
-2.075 4.973 -0.973
-0.384 -1.202 -5.328
-4.695 -1.813 0.748
Rb Hg Ga Al
1 2 1 1
direct
0.500 0.500 0.500 Rb
0.000 0.500 0.000 Hg
0.500 0.000 0.000 Hg
0.000 0.000 0.500 Ga
0.000 0.000 0.000 Al



KReAu2 (PBE, optimized geometry); ΔE_f = 2.0 eV/f.u.; total DFT energy (no corrections) = -18.1 eV/cell; size of the total moment = 0.0 μB per formula unit; calculated density = 13.1 g/cm³
1.0
-0.551 -0.441 2.758
2.267 -1.713 0.181
5.538 7.574 2.319
Re Au K
1 2 1
direct
0.500 0.500 0.750 Re
0.000 0.000 0.961 Au
0.000 0.000 0.539 Au
0.500 0.500 0.250 K



Sc3N (PBE, optimized geometry); total DFT energy (no corrections) = -29.5 eV/cell; size of the total moment = 0.2 μB per formula unit; calculated density = 3.3 g/cm³; energy relative to the elements, uncorrected = -0.55 eV/atom
1.0
2.954 0.000 0.000
0.000 3.092 0.000
0.000 0.000 8.183
Sc N
3 1
direct
0.500 0.000 0.780 Sc
0.500 0.500 0.090 Sc
0.000 0.500 0.469 Sc
0.000 0.000 0.994 N



GaSnI2N (PBE, optimized geometry); total DFT energy (no corrections) = -16.6 eV/cell; size of the total moment = 0.3 μB per formula unit; calculated density = 5.7 g/cm³; energy relative to the elements, uncorrected = 0.36 eV/atom
1.0
6.042 0.000 0.000
0.000 6.042 0.000
0.000 0.000 3.621
I Sn Ga N
2 1 1 1
direct
0.500 0.000 0.000 I
0.000 0.500 0.000 I
0.500 0.500 0.500 Sn
0.000 0.000 0.000 Ga
0.000 0.000 0.500 N



Ti2InCo (PBE, optimized geometry); ΔE_f = -0.9 eV/f.u.; total DFT energy (no corrections) = -26.5 eV/cell; size of the total moment = 1.1 μB per formula unit; calculated density = 6.9 g/cm³
1.0
2.909 0.000 0.000
0.000 2.909 0.000
0.000 0.000 7.686
Co Ti In
1 2 1
direct
0.500 0.500 0.000 Co
0.000 0.000 0.798 Ti
0.000 0.000 0.202 Ti
0.500 0.500 0.500 In



Ac4PtS3 (PBE, optimized geometry); total DFT energy (no corrections) = -48.9 eV/cell; size of the total moment = 0.0 μB per formula unit; calculated density = 8.5 g/cm³; energy relative to the elements, uncorrected = -1.76 eV/atom
1.0
4.277 0.000 0.000
0.000 7.221 -2.471
0.000 -0.069 7.632
S Ac Pt
3 4 1
direct
0.000 0.500 0.000 S
0.500 0.500 0.500 S
0.000 0.000 0.500 S
0.500 0.747 0.253 Ac
0.000 0.243 0.243 Ac
0.000 0.757 0.757 Ac
0.500 0.253 0.747 Ac
0.500 0.000 0.000 Pt